[1]
The following is a DFT calculation (GGA-PBE) of YZr2Hg after structural relaxation.

Summary:
Volume in Å³/atom: 25.93
Energy in Ry per atom: -0.419
Density in kg/m³: 7555
Spin magnetization in Bohr magnetons per cell: 0.00

a b c (Å): 8.3515 8.3515 5.9490
angles (deg): 90.00 90.00 90.00
Space group I-42d (No. 122)
Inequivalent atoms, fractional coordinates:
Y1 0.0000 0.0000 0.0000
Zr1 0.2176 0.7500 0.6250
Hg1 0.0000 0.0000 0.5000

---

[2]
The following is a DFT calculation (GGA-PBE) of MgPtF6 after structural relaxation.

Summary:
Volume in Å³/atom: 13.83
Formation energy (no corrections) in eV/atom: -2.1400
Energy in Ry per atom: -0.331
Density in kg/m³: 5002
Spin magnetization in Bohr magnetons per cell: 0.00

a b c (Å): 5.0385 8.9511 5.0444
angles (deg): 90.00 103.37 90.00
Space group C2/m (No. 12)
Inequivalent atoms, fractional coordinates:
Mg1 0.0000 0.0000 0.0000
Pt1 0.0000 0.5000 0.5000
F1 0.2402 0.3586 0.7468
F2 0.2478 0.0000 0.7439

---

[3]
The following is a DFT calculation (GGA-PBE) of CsLa2MgCl after structural relaxation.

Summary:
Volume in Å³/atom: 43.61
Formation energy (no corrections) in eV/atom: 0.6327
Energy in Ry per atom: -0.161
Density in kg/m³: 3583
Spin magnetization in Bohr magnetons per cell: 1.19

a b c (Å): 6.0812 6.0812 5.8958
angles (deg): 90.00 90.00 90.00
Space group P4/mmm (No. 123)
Inequivalent atoms, fractional coordinates:
Cs1 0.0000 0.0000 0.0000
La1 0.0000 0.5000 0.0000
Mg1 0.5000 0.5000 0.5000
Cl1 0.0000 0.0000 0.5000

---

[4]
The following is a DFT calculation (GGA-PBE) of Ho2TlOs after structural relaxation.

Summary:
Volume in Å³/atom: 31.70
Energy in Ry per atom: -0.410
Density in kg/m³: 9489
Spin magnetization in Bohr magnetons per cell: 0.00

a b c (Å): 3.8835 3.8835 29.1202
angles (deg): 90.00 90.00 120.00
Space group R-3m (No. 166, hexagonal axes)
Inequivalent atoms, fractional coordinates:
Ho1 0.0000 0.0000 0.1136
Tl1 0.0000 0.0000 0.0000
Os1 0.0000 0.0000 0.5000

---

[5]
The following is a DFT calculation (GGA-PBE) of Mn2ZnSi after structural relaxation.

Summary:
Volume in Å³/atom: 13.94
Formation energy (no corrections) in eV/atom: 0.2590
Energy in Ry per atom: -0.441
Density in kg/m³: 6056
Spin magnetization in Bohr magnetons per cell: 19.10

a b c (Å): 6.5585 6.5585 5.1853
angles (deg): 90.00 90.00 90.00
Space group I-42d (No. 122)
Inequivalent atoms, fractional coordinates:
Mn1 0.2314 0.2500 0.1250
Zn1 0.0000 0.0000 0.5000
Si1 0.0000 0.0000 0.0000